Na2BeSn | PBE-GGA | optimized geometry

Cell lengths 8.296, 8.296, 8.296 Å; angles 94.18, 94.18, 148.68 degrees
Element x y z (fractional)
Na  0.375  0.137  0.262
Na  0.863  0.125  0.238
Na  0.875  0.113  0.738
Na  0.887  0.625  0.762
Be  0.000  0.000  0.000
Be  0.750  0.250  0.500
Sn  0.250  0.750  0.500
Sn  0.500  0.500  0.000

Computed properties:
**Total moment**: 0.00 Bohr magnetons per cell
**Calculated total energy**: -2.35 eV/atom
**Energy relative to the lowest polymorph listed for this composition**: 0.0 meV per atom
**Formation energy from the elements**: 0.242 eV per atom

***

HfThZn | PBE-GGA | optimized geometry

Cell lengths 4.710, 4.710, 3.850 Å; angles 90.00, 90.00, 120.00 degrees
Element x y z (fractional)
Hf  0.000  0.000  0.000
Th  0.667  0.333  0.500
Zn  0.333  0.667  0.000

Computed properties:
**Total moment**: 0.00 Bohr magnetons per cell
**Calculated total energy**: -6.10 eV/atom
**Energy relative to the lowest polymorph listed for this composition**: 152.2 meV per atom
**Formation energy from the elements**: 0.119 eV per atom

***

SrMgCd2Hg4 | PBE-GGA | optimized geometry

Cell lengths 9.988, 9.988, 9.988 Å; angles 28.74, 28.74, 28.74 degrees
Element x y z (fractional)
Sr  0.000  0.000  0.000
Mg  0.500  0.500  0.500
Cd  0.245  0.245  0.245
Cd  0.755  0.755  0.755
Hg  0.132  0.132  0.132
Hg  0.390  0.390  0.390
Hg  0.610  0.610  0.610
Hg  0.868  0.868  0.868

Computed properties:
**Total moment**: 0.00 Bohr magnetons per cell
**Calculated total energy**: -1.03 eV/atom
**Formation energy from the elements**: -0.244 eV per atom

***

Zr2ScAl | PBE-GGA | optimized geometry

Cell lengths 10.435, 10.435, 10.435 Å; angles 17.28, 17.28, 17.28 degrees
Element x y z (fractional)
Zr  0.246  0.246  0.246
Zr  0.754  0.754  0.754
Sc  0.000  0.000  0.000
Al  0.500  0.500  0.500

Computed properties:
**Total moment**: 0.00 Bohr magnetons per cell
**Calculated total energy**: -6.87 eV/atom
**Formation energy from the elements**: -0.073 eV per atom